1.
Al3FeCl after structural relaxation, computed with PBE.

Properties
crystal system: cubic

Unit cell a=4.7455 b=4.7455 c=4.7455 alpha=90.00 beta=90.00 gamma=90.00
Fractional positions:
Al 0.0000 0.5000 0.0000
Al 0.5000 0.0000 0.0000
Al 0.0000 0.0000 0.5000
Cl 0.0000 0.0000 0.0000
Fe 0.5000 0.5000 0.5000

***

2.
Al2FeCl after structural relaxation, computed with PBE.

Properties
crystal system: trigonal

Unit cell a=7.7492 b=7.7492 c=7.7492 alpha=22.77 beta=22.77 gamma=22.77
Fractional positions:
Cl 0.2500 0.2500 0.2500
Al 0.4899 0.4899 0.4899
Al 0.0101 0.0101 0.0101
Fe 0.7500 0.7500 0.7500

***

3.
AlFe2Cl after structural relaxation, computed with PBE.

Properties
crystal system: monoclinic

Unit cell a=4.5238 b=4.5238 c=7.3016 alpha=55.42 beta=55.42 gamma=37.57
Fractional positions:
Fe 0.4457 0.4457 0.4039
Fe 0.0543 0.0543 0.0961
Al 0.2500 0.2500 0.2500
Cl 0.7500 0.7500 0.7500

***

4.
AlFe2Cl after structural relaxation, computed with PBE.

Properties
crystal system: cubic

Unit cell a=4.3090 b=4.3090 c=4.3090 alpha=60.00 beta=60.00 gamma=60.00
Fractional positions:
Al 0.5000 0.5000 0.5000
Fe 0.2500 0.2500 0.2500
Fe 0.0000 0.0000 0.0000
Cl 0.7500 0.7500 0.7500

***

5.
AlFe2Cl after structural relaxation, computed with PBE.

Properties
crystal system: tetragonal

Unit cell a=5.0390 b=5.0390 c=5.0390 alpha=136.41 beta=136.41 gamma=63.34
Fractional positions:
Fe 0.5000 0.5000 0.0000
Fe 0.0000 0.0000 0.0000
Al 0.2500 0.7500 0.5000
Cl 0.7500 0.2500 0.5000

***

6.
Al2FeCl after structural relaxation, computed with PBE.

Properties
crystal system: tetragonal

Unit cell a=2.9271 b=2.9271 c=7.2493 alpha=90.00 beta=90.00 gamma=90.00
Fractional positions:
Cl 0.5000 0.5000 0.2500
Al 0.0000 0.0000 0.9386
Al 0.0000 0.0000 0.5614
Fe 0.5000 0.5000 0.7500

***

7.
AlFe2Cl after structural relaxation, computed with PBE.

Properties
crystal system: cubic

Unit cell a=4.2663 b=4.2663 c=4.2663 alpha=60.00 beta=60.00 gamma=60.00
Fractional positions:
Cl 0.5000 0.5000 0.5000
Al 0.0000 0.0000 0.0000
Fe 0.2500 0.2500 0.2500
Fe 0.7500 0.7500 0.7500

***

8.
Al2FeCl after structural relaxation, computed with PBE.

Properties
crystal system: cubic

Unit cell a=4.6470 b=4.6470 c=4.6470 alpha=60.00 beta=60.00 gamma=60.00
Fractional positions:
Al 0.7500 0.7500 0.7500
Al 0.2500 0.2500 0.2500
Cl 0.0000 0.0000 0.0000
Fe 0.5000 0.5000 0.5000

***

| no. | energy relative to the lowest polymorph listed for this composition (eV per atom) |
| --- | --- |
| 1 | 0.971 |
| 2 | 0.000 |
| 3 | 0.060 |
| 4 | 0.587 |
| 5 | 0.573 |
| 6 | 0.014 |
| 7 | 0.558 |
| 8 | 0.724 |